(1)
# PmGeIr

PmGeIr after structural relaxation (PBE, the Alexandria database).

E, eV per cell: -20.5
Formation energy, eV/atom: -0.7685
Space-group type: P-6m2
Energy relative to the lowest polymorph listed for this composition, meV/atom: 80
Density of states at the Fermi level, states/eV per cell: 2.0

a b c (Å): 4.342 4.342 3.898
angles (deg): 90.00 90.00 120.00
Fractional coordinates of all 3 atoms:
Pm 0.000 0.000 0.000
Ge 0.667 0.333 0.500
Ir 0.333 0.667 0.500


(2)
# PmGeIr

PmGeIr after structural relaxation (PBE, the Alexandria database).

E, eV per cell: -83.1
Formation energy, eV/atom: -0.8486
Space-group type: Pnma
Energy relative to the lowest polymorph listed for this composition, meV/atom: 0
Density of states at the Fermi level, states/eV per cell: 6.3

a b c (Å): 7.128 4.432 7.588
angles (deg): 90.00 90.00 90.00
Fractional coordinates of all 12 atoms:
Pm 0.006 0.250 0.190
Pm 0.494 0.750 0.690
Pm 0.506 0.250 0.310
Pm 0.994 0.750 0.810
Ge 0.200 0.250 0.604
Ge 0.300 0.750 0.104
Ge 0.700 0.250 0.896
Ge 0.800 0.750 0.396
Ir 0.161 0.750 0.428
Ir 0.339 0.250 0.928
Ir 0.661 0.750 0.072
Ir 0.839 0.250 0.572


(3)
# PmGe7Ir3

PmGe7Ir3 after structural relaxation (PBE, the Alexandria database).

E, eV per cell: -137.8
Formation energy, eV/atom: -0.4771
Space-group type: R-3c
Density of states at the Fermi level, states/eV per cell: 2.5

a b c (Å): 8.379 8.379 8.379
angles (deg): 56.75 56.75 56.75
Fractional coordinates of all 22 atoms:
Pm 0.000 0.000 0.000
Pm 0.500 0.500 0.500
Ge 0.073 0.851 0.668
Ge 0.149 0.332 0.927
Ge 0.168 0.351 0.573
Ge 0.250 0.250 0.250
Ge 0.332 0.927 0.149
Ge 0.351 0.573 0.168
Ge 0.427 0.832 0.649
Ge 0.573 0.168 0.351
Ge 0.649 0.427 0.832
Ge 0.668 0.073 0.851
Ge 0.750 0.750 0.750
Ge 0.832 0.649 0.427
Ge 0.851 0.668 0.073
Ge 0.927 0.149 0.332
Ir 0.067 0.750 0.433
Ir 0.250 0.567 0.933
Ir 0.433 0.067 0.750
Ir 0.567 0.933 0.250
Ir 0.750 0.433 0.067
Ir 0.933 0.250 0.567


(4)
# Pm12Ge5Ir2

Pm12Ge5Ir2 after structural relaxation (PBE, the Alexandria database).

E, eV per cell: -108.0
Formation energy, eV/atom: -0.5372
Space-group type: C2/m
Density of states at the Fermi level, states/eV per cell: 18.1

a b c (Å): 9.282 9.282 9.497
angles (deg): 104.20 104.20 47.81
Fractional coordinates of all 19 atoms:
Pm 0.003 0.003 0.257
Pm 0.067 0.597 0.912
Pm 0.106 0.593 0.427
Pm 0.403 0.933 0.088
Pm 0.407 0.894 0.573
Pm 0.493 0.493 0.182
Pm 0.507 0.507 0.818
Pm 0.593 0.106 0.427
Pm 0.597 0.067 0.912
Pm 0.894 0.407 0.573
Pm 0.933 0.403 0.088
Pm 0.997 0.997 0.743
Ge 0.188 0.188 0.825
Ge 0.196 0.196 0.364
Ge 0.500 0.500 0.500
Ge 0.804 0.804 0.636
Ge 0.812 0.812 0.175
Ir 0.203 0.797 0.000
Ir 0.797 0.203 0.000


(5)
# PmPrGeIr

PmPrGeIr after structural relaxation (PBE, the Alexandria database).

E, eV per cell: -52.1
Formation energy, eV/atom: -0.7547
Space-group type: Amm2
Energy relative to the lowest polymorph listed for this composition, meV/atom: 0
Density of states at the Fermi level, states/eV per cell: 5.3

a b c (Å): 4.210 4.276 10.909
angles (deg): 90.00 90.00 90.00
Fractional coordinates of all 8 atoms:
Pm 0.000 0.000 0.000
Pm 0.000 0.500 0.500
Pr 0.500 0.000 0.719
Pr 0.500 0.500 0.219
Ge 0.000 0.000 0.295
Ge 0.000 0.500 0.795
Ir 0.500 0.000 0.440
Ir 0.500 0.500 0.940


(6)
# PmPrGeIr

PmPrGeIr after structural relaxation (PBE, the Alexandria database).

E, eV per cell: -100.6
Formation energy, eV/atom: -0.5363
Space-group type: F-43m
Energy relative to the lowest polymorph listed for this composition, meV/atom: 218
Density of states at the Fermi level, states/eV per cell: 12.4

a b c (Å): 7.262 7.262 7.262
angles (deg): 90.00 90.00 90.00
Fractional coordinates of all 16 atoms:
Pm 0.000 0.000 0.000
Pm 0.000 0.500 0.500
Pm 0.500 0.000 0.500
Pm 0.500 0.500 0.000
Pr 0.000 0.000 0.500
Pr 0.000 0.500 0.000
Pr 0.500 0.000 0.000
Pr 0.500 0.500 0.500
Ge 0.250 0.250 0.250
Ge 0.250 0.750 0.750
Ge 0.750 0.250 0.750
Ge 0.750 0.750 0.250
Ir 0.250 0.250 0.750
Ir 0.250 0.750 0.250
Ir 0.750 0.250 0.250
Ir 0.750 0.750 0.750